First-principles (PBE) data for an optimized crystal structure of PuSiH, as listed in the Alexandria database.

* polymorph energy (0 for the lowest one): 0.000 eV per atom
* calculated total energy: -8.21 eV per atom

Cell and atoms, written as CIF:
```
data_PuSiH
_cell_length_a 4.0992
_cell_length_b 10.9637
_cell_length_c 3.9283
_cell_angle_alpha 90.00
_cell_angle_beta 90.00
_cell_angle_gamma 90.00
_symmetry_space_group_name_H-M 'P 1'
_symmetry_Int_Tables_number 1
_symmetry_space_group_name_Hall 'P 1'
loop_
_atom_site_label
_atom_site_type_symbol
_atom_site_fract_x
_atom_site_fract_y
_atom_site_fract_z
_atom_site_occupancy
Pu1 Pu 0.0000 0.1524 0.2500 1
Pu2 Pu 0.0000 0.8476 0.7500 1
Pu3 Pu 0.5000 0.3476 0.7500 1
Pu4 Pu 0.5000 0.6524 0.2500 1
Si1 Si 0.0000 0.4376 0.2500 1
Si2 Si 0.0000 0.5624 0.7500 1
Si3 Si 0.5000 0.0624 0.7500 1
Si4 Si 0.5000 0.9376 0.2500 1
H1 H 0.0000 0.2564 0.7500 1
H2 H 0.0000 0.7436 0.2500 1
H3 H 0.5000 0.2436 0.2500 1
H4 H 0.5000 0.7564 0.7500 1
```